1.
Tl2SnHg5Au: optimized geometry, PBE.

```
9
Lattice="-3.6177 3.6177 4.8640 3.6177 -3.6177 4.8640 3.6177 3.6177 -4.8640" Properties=species:S:1:pos:R:3 pbc="T T T"
Tl 3.6177 0.0000 0.0000
Tl 0.0000 3.6177 0.0000
Sn 0.0000 0.0000 4.2232
Hg 0.0000 0.0000 0.0922
Hg 1.9467 1.9467 -2.4618
Hg 1.6710 -1.6710 2.4021
Hg -1.6710 1.6710 2.4021
Hg 1.6710 1.6710 2.4021
Au 0.0000 0.0000 6.9270
```

## Properties
The value obtained for the electronic total energy is -1.47 eV/atom. As for the symmetry: I4mm (107).

=====

2.
KBaZnIn: optimized geometry, PBE.

```
4
Lattice="0.0000 3.9645 3.9645 3.9645 0.0000 3.9645 3.9645 3.9645 0.0000" Properties=species:S:1:pos:R:3 pbc="T T T"
K 0.0000 0.0000 0.0000
Ba 1.9822 1.9822 1.9822
Zn 3.9645 3.9645 3.9645
In 5.9467 5.9467 5.9467
```

## Properties
The value obtained for the electronic total energy is -1.80 eV/atom. As for the symmetry: F-43m (216).

=====

3.
RbPPd3: optimized geometry, PBE.

```
5
Lattice="4.7104 0.0000 0.0000 0.0000 4.7104 0.0000 0.0000 0.0000 4.7104" Properties=species:S:1:pos:R:3 pbc="T T T"
Rb 0.0000 0.0000 0.0000
P 2.3552 2.3552 2.3552
Pd 0.0000 2.3552 2.3552
Pd 2.3552 0.0000 2.3552
Pd 2.3552 2.3552 0.0000
```

## Properties
The value obtained for the electronic total energy is -4.57 eV/atom. As for the symmetry: Pm-3m (221). For the energy above the most stable polymorph in this dataset, the calculation gives 0.55 eV/f.u.

=====

4.
YEr2Pt: optimized geometry, PBE.

```
4
Lattice="1.8986 1.0962 9.3833 -1.8986 1.0962 9.3833 0.0000 -2.1923 9.3833" Properties=species:S:1:pos:R:3 pbc="T T T"
Y 0.0000 0.0000 0.0000
Er 0.0000 0.0000 6.4207
Er 0.0000 0.0000 21.7292
Pt 0.0000 0.0000 14.0750
```

## Properties
The value obtained for the electronic total energy is -5.92 eV/atom. As for the symmetry: R-3m (166). For the energy above the most stable polymorph in this dataset, the calculation gives 0.88 eV/f.u.